Version w
An optimized crystal structure of Tb2CeSb. Source: Alexandria, functional GGA-PBE.

Output
Density: 8.803 g/cm³
Calculated volume: 109 Å³/f.u.
Fermi-level density of states: 8.7 states/eV/f.u.
Total magnetic moment: 0.361 μB/atom

abc: 5.3677 5.3677 5.3674
angles: 60.00 60.00 60.00
With the nearest neighbours (Å) after each atom.
Fractional positions:
Sb 0.0000 0.0000 0.0000  8 Tb 3.29
Tb 0.7501 0.7501 0.7497  4 Sb 3.29, 4 Ce 3.29
Tb 0.2499 0.2499 0.2503  4 Sb 3.29, 4 Ce 3.29
Ce 0.5000 0.5000 0.5000  8 Tb 3.29

---

Version x
An optimized crystal structure of Tb2CeSb. Source: Alexandria, functional GGA-PBE.

Output
Density: 7.192 g/cm³
Calculated volume: 134 Å³/f.u.
Fermi-level density of states: 7.9 states/eV/f.u.
Total magnetic moment: 0.528 μB/atom

abc: 3.9967 3.9967 9.9477
angles: 78.41 78.41 60.00
With the nearest neighbours (Å) after each atom.
Fractional positions:
Tb 0.0670 0.0670 0.7989  3 Sb 3.02
Tb 0.2662 0.2662 0.2014  3 Sb 3.01
Ce 0.5004 0.5004 0.4988  6 Tb 3.69-3.71, 6 Ce 4.00
Sb 0.6664 0.6664 0.0009  6 Tb 3.01-3.02

---

version x takes first place; second place is 18 meV/atom up.

---

Version w
An optimized crystal structure of TbCeSb2. Source: Alexandria, functional GGA-PBE.

Output
Density: 7.231 g/cm³
Calculated volume: 125 Å³/f.u.
Fermi-level density of states: 7.2 states/eV/f.u.
Total magnetic moment: 0.197 μB/atom

abc: 4.4486 4.4486 7.7100
angles: 90.00 106.78 119.99
With the nearest neighbours (Å) after each atom.
Fractional positions:
Tb 0.0000 0.0000 0.0000  6 Sb 3.12-3.13
Ce 0.0000 0.5000 0.5000  6 Sb 3.17
Sb 0.5034 0.2517 0.7550  3 Tb 3.12-3.13, 3 Ce 3.17
Sb 0.4966 0.7483 0.2449  3 Tb 3.13, 3 Ce 3.17

---

Version x
An optimized crystal structure of TbCeSb2. Source: Alexandria, functional GGA-PBE.

Output
Density: 7.061 g/cm³
Calculated volume: 128 Å³/f.u.
Fermi-level density of states: 6.4 states/eV/f.u.
Total magnetic moment: 0.218 μB/atom

abc: 4.4189 4.4189 7.9648
angles: 73.89 73.89 60.00
With the nearest neighbours (Å) after each atom.
Fractional positions:
Tb 0.4975 0.4975 0.5076  6 Sb 3.13-3.20
Ce 0.6692 0.6692 0.9924  6 Sb 3.14-3.21
Sb 0.0837 0.0837 0.7489  3 Tb 3.13, 3 Ce 3.14
Sb 0.2496 0.2496 0.2511  3 Tb 3.20, 3 Ce 3.21

---

version w takes first place; second place is 123 meV/atom up.

---

Version w
An optimized crystal structure of Ce5TcSb2. Source: Alexandria, functional GGA-PBE.

Output
Density: 7.878 g/cm³
Calculated volume: 220 Å³/f.u.
Fermi-level density of states: 19.6 states/eV/f.u.
Total magnetic moment: 0.435 μB/atom

abc: 5.8983 5.6140 15.5909
angles: 90.00 90.00 121.69
With the nearest neighbours (Å) after each atom.
Fractional positions:
Ce 0.9156 0.8313 0.8732  1 Tc 2.38
Ce 0.9156 0.8313 0.6268  1 Tc 2.38
Ce 0.4317 0.8633 0.4033  1 Ce 2.93, 1 Tc 3.06, 2 Sb 3.18-3.20
Ce 0.4317 0.8633 0.0967  1 Ce 2.93, 1 Tc 3.06, 2 Sb 3.18-3.20
Ce 0.6098 0.2195 0.2500  2 Ce 2.93, 2 Tc 3.17, 2 Sb 3.18
Ce 0.3902 0.7805 0.7500  2 Ce 2.93, 2 Tc 3.17, 2 Sb 3.18
Ce 0.5683 0.1367 0.5967  1 Ce 2.93, 1 Tc 3.06, 2 Sb 3.18-3.20
Ce 0.5683 0.1367 0.9033  1 Ce 2.93, 1 Tc 3.06, 2 Sb 3.18-3.20
Ce 0.0844 0.1687 0.1268  1 Tc 2.38
Ce 0.0844 0.1687 0.3732  1 Tc 2.38
Tc 0.7680 0.5361 0.7500  2 Ce 2.38
Tc 0.2320 0.4639 0.2500  2 Ce 2.38
Sb 0.7632 0.5263 0.4312  9 Ce 3.18-3.53
Sb 0.7632 0.5263 0.0688  9 Ce 3.18-3.53
Sb 0.2368 0.4737 0.5688  9 Ce 3.18-3.53
Sb 0.2368 0.4737 0.9312  9 Ce 3.18-3.53

---

Version x
An optimized crystal structure of Ce5TcSb2. Source: Alexandria, functional GGA-PBE.

Output
Density: 7.813 g/cm³
Calculated volume: 221 Å³/f.u.
Fermi-level density of states: 23.7 states/eV/f.u.
Total magnetic moment: 0.509 μB/atom

abc: 4.6036 7.8791 12.2131
angles: 90.00 90.00 90.00
With the nearest neighbours (Å) after each atom.
Fractional positions:
Ce 0.0000 0.0000 0.5000  4 Sb 3.25, 4 Ce 3.32
Ce 0.0000 0.5000 0.0000  4 Sb 3.25, 4 Ce 3.32
Ce 0.0000 0.8740 0.1987  1 Tc 2.62
Ce 0.0000 0.1260 0.8013  1 Tc 2.62
Ce 0.0000 0.6260 0.6987  1 Tc 2.62
Ce 0.0000 0.3740 0.3013  1 Tc 2.62
Ce 0.5000 0.7091 0.4425  2 Tc 2.92
Ce 0.5000 0.2909 0.5575  2 Tc 2.92
Ce 0.5000 0.7909 0.9425  2 Tc 2.92
Ce 0.5000 0.2091 0.0575  2 Tc 2.92
Tc 0.0000 0.5000 0.5000  6 Ce 2.62-2.92
Tc 0.0000 0.0000 0.0000  6 Ce 2.62-2.92
Sb 0.5000 0.5888 0.1784  9 Ce 3.23-3.36
Sb 0.5000 0.4112 0.8216  9 Ce 3.23-3.36
Sb 0.5000 0.9112 0.6784  9 Ce 3.23-3.36
Sb 0.5000 0.0888 0.3216  9 Ce 3.23-3.36

---

version x takes first place; second place is 336 meV/atom up.

---

Version w
An optimized crystal structure of Ce2SbTe. Source: Alexandria, functional GGA-PBE.

Output
Density: 6.794 g/cm³
Calculated volume: 129 Å³/f.u.
Fermi-level density of states: 14.0 states/eV/f.u.
Total magnetic moment: 0.555 μB/atom

abc: 4.5256 4.5263 7.7499
angles: 106.99 90.00 119.99
With the nearest neighbours (Å) after each atom.
Fractional positions:
Ce 0.2516 0.5032 0.2546  3 Sb 3.17, 3 Te 3.21
Ce 0.7484 0.4968 0.7454  3 Sb 3.17, 3 Te 3.21
Sb 0.0000 0.0000 0.5000  6 Ce 3.17
Te 0.5000 0.0000 0.0000  6 Ce 3.21

---

Version x
An optimized crystal structure of Ce2SbTe. Source: Alexandria, functional GGA-PBE.

Output
Density: 7.654 g/cm³
Calculated volume: 115 Å³/f.u.
Fermi-level density of states: 12.3 states/eV/f.u.
Total magnetic moment: 0.723 μB/atom

abc: 5.4568 5.4568 5.4568
angles: 60.00 60.00 60.00
With the nearest neighbours (Å) after each atom.
Fractional positions:
Sb 0.0000 0.0000 0.0000  8 Ce 3.34
Te 0.5000 0.5000 0.5000  8 Ce 3.34
Ce 0.2500 0.2500 0.2500  4 Te 3.34, 4 Sb 3.34
Ce 0.7500 0.7500 0.7500  4 Sb 3.34, 4 Te 3.34

---

version w takes first place; second place is 165 meV/atom up.

---

Version w
An optimized crystal structure of Ce2ThSb. Source: Alexandria, functional GGA-PBE.

Output
Density: 9.317 g/cm³
Calculated volume: 113 Å³/f.u.
Fermi-level density of states: 12.1 states/eV/f.u.
Total magnetic moment: 0.001 μB/atom

abc: 5.4264 5.4264 5.4268
angles: 60.00 60.00 60.00
With the nearest neighbours (Å) after each atom.
Fractional positions:
Sb 0.0000 0.0000 0.0000  8 Ce 3.32
Ce 0.2501 0.2501 0.2498  4 Th 3.32, 4 Sb 3.32
Ce 0.7499 0.7499 0.7502  4 Th 3.32, 4 Sb 3.32
Th 0.5000 0.5000 0.5000  8 Ce 3.32

---

Version x
An optimized crystal structure of Ce2ThSb. Source: Alexandria, functional GGA-PBE.

Output
Density: 9.211 g/cm³
Calculated volume: 114 Å³/f.u.
Fermi-level density of states: 7.9 states/eV/f.u.
Total magnetic moment: 0.000 μB/atom

abc: 4.4930 4.3819 11.7931
angles: 90.00 100.08 90.00
With the nearest neighbours (Å) after each atom.
Fractional positions:
Ce 0.5991 0.2500 0.1138  2 Ce 2.84
Ce 0.4009 0.7500 0.8862  2 Ce 2.84
Ce 0.0015 0.7500 0.1165  2 Ce 2.84
Ce 0.9985 0.2500 0.8835  2 Ce 2.84
Th 0.7005 0.7500 0.3915  5 Sb 3.22-3.27
Th 0.2995 0.2500 0.6085  5 Sb 3.22-3.27
Sb 0.1744 0.2500 0.3268  5 Th 3.22-3.27, 4 Ce 3.27-3.41
Sb 0.8256 0.7500 0.6732  5 Th 3.22-3.27, 4 Ce 3.27-3.41

---

version x takes first place; second place is 244 meV/atom up.